1.
An optimized crystal structure of LiGa2Ag. Source: Alexandria, functional GGA-PBE.

Values from the calculation:
As for the space group: No. 122. As for the total moment: 0.000 μB per atom.

The structure in POSCAR format:
```
LiGa2Ag
1.0
-1.967 1.967 9.439
1.967 -1.967 9.439
1.967 1.967 -9.439
Li Ga Ag
2 4 2
direct
0.000 0.000 0.000
0.750 0.250 0.500
0.120 0.625 0.995
0.375 0.370 0.495
0.630 0.125 0.005
0.875 0.880 0.505
0.250 0.750 0.500
0.500 0.500 0.000
```

2.
An optimized crystal structure of LiGa2Ag. Source: Alexandria, functional GGA-PBE.

Values from the calculation:
As for the space group: No. 123. As for the total moment: 0.000 μB per atom.

The structure in POSCAR format:
```
LiGa2Ag
1.0
4.005 0.000 0.000
0.000 4.005 0.000
0.000 0.000 4.141
Li Ga Ag
1 2 1
direct
0.000 0.000 0.000
0.000 0.500 0.500
0.500 0.000 0.500
0.500 0.500 0.000
```

2 wins, 13.1 kJ/mol of atoms ahead of the next structure.

1.
An optimized crystal structure of LiGa12Ag6. Source: Alexandria, functional GGA-PBE.

Values from the calculation:
As for the space group: No. 148. As for the total moment: 0.000 μB per atom.

The structure in POSCAR format:
```
LiGa12Ag6
1.0
5.549 3.204 3.403
-5.549 3.204 3.403
0.000 -6.408 3.403
Li Ga Ag
1 12 6
direct
0.000 0.000 0.000
0.012 0.812 0.287
0.188 0.713 0.988
0.191 0.499 0.635
0.287 0.012 0.812
0.365 0.809 0.501
0.499 0.635 0.191
0.501 0.365 0.809
0.635 0.191 0.499
0.713 0.988 0.188
0.809 0.501 0.365
0.812 0.287 0.012
0.988 0.188 0.713
0.152 0.453 0.251
0.251 0.152 0.453
0.453 0.251 0.152
0.547 0.749 0.848
0.749 0.848 0.547
0.848 0.547 0.749
```

2.
An optimized crystal structure of LiGa12Ag6. Source: Alexandria, functional GGA-PBE.

Values from the calculation:
As for the space group: No. 148. As for the total moment: 0.000 μB per atom.

The structure in POSCAR format:
```
LiGa12Ag6
1.0
4.991 2.881 3.990
-4.991 2.881 3.990
0.000 -5.763 3.990
Li Ga Ag
1 12 6
direct
0.000 0.000 0.000
0.045 0.143 0.370
0.143 0.370 0.045
0.204 0.469 0.550
0.370 0.045 0.143
0.450 0.796 0.531
0.469 0.550 0.204
0.531 0.450 0.796
0.550 0.204 0.469
0.630 0.955 0.857
0.796 0.531 0.450
0.857 0.630 0.955
0.955 0.857 0.630
0.123 0.740 0.270
0.260 0.730 0.877
0.270 0.123 0.740
0.730 0.877 0.260
0.740 0.270 0.123
0.877 0.260 0.730
```

2 wins, 3.3 kJ/mol of atoms ahead of the next structure.

1.
An optimized crystal structure of Li2GaAg4. Source: Alexandria, functional GGA-PBE.

Values from the calculation:
As for the space group: No. 11. As for the total moment: 0.000 μB per atom.

The structure in POSCAR format:
```
Li2GaAg4
1.0
6.649 0.000 0.000
0.000 5.349 0.000
-3.332 0.000 6.927
Li Ga Ag
4 2 8
direct
0.125 0.250 0.061
0.291 0.250 0.517
0.709 0.750 0.483
0.875 0.750 0.939
0.265 0.750 0.300
0.735 0.250 0.700
0.096 0.501 0.728
0.096 0.999 0.728
0.450 0.750 0.680
0.455 0.750 0.063
0.545 0.250 0.937
0.550 0.250 0.320
0.904 0.001 0.272
0.904 0.499 0.272
```

2.
An optimized crystal structure of Li2GaAg4. Source: Alexandria, functional GGA-PBE.

Values from the calculation:
As for the space group: No. 14. As for the total moment: 0.000 μB per atom.

The structure in POSCAR format:
```
Li2GaAg4
1.0
4.956 0.000 0.000
0.000 8.742 0.000
-0.414 0.000 5.660
Li Ga Ag
4 2 8
direct
0.240 0.008 0.435
0.240 0.492 0.935
0.760 0.508 0.065
0.760 0.992 0.565
0.500 0.000 0.000
0.500 0.500 0.500
0.009 0.172 0.997
0.009 0.328 0.497
0.489 0.749 0.753
0.489 0.751 0.253
0.511 0.249 0.747
0.511 0.251 0.247
0.991 0.672 0.503
0.991 0.828 0.003
```

2 wins, 0.7 kJ/mol of atoms ahead of the next structure.

1.
An optimized crystal structure of LiGa3Ag4. Source: Alexandria, functional GGA-PBE.

Values from the calculation:
As for the space group: No. 2. As for the total moment: 0.000 μB per atom.

The structure in POSCAR format:
```
LiGa3Ag4
1.0
2.977 0.000 0.000
0.010 5.040 0.000
1.486 2.128 9.150
Li Ga Ag
1 3 4
direct
0.000 0.000 0.000
0.376 0.705 0.250
0.500 0.500 0.000
0.624 0.295 0.750
0.119 0.803 0.761
0.250 0.252 0.500
0.750 0.748 0.500
0.881 0.197 0.239
```

2.
An optimized crystal structure of LiGa3Ag4. Source: Alexandria, functional GGA-PBE.

Values from the calculation:
As for the space group: No. 12. As for the total moment: 0.000 μB per atom.

The structure in POSCAR format:
```
LiGa3Ag4
1.0
9.136 -1.448 0.000
9.136 1.448 0.000
-0.628 0.000 5.206
Li Ga Ag
1 3 4
direct
0.000 0.000 0.000
0.252 0.252 0.746
0.500 0.500 0.500
0.748 0.748 0.254
0.121 0.121 0.356
0.375 0.375 0.140
0.625 0.625 0.860
0.879 0.879 0.644
```

1 wins, 0.7 kJ/mol of atoms ahead of the next structure.

1.
An optimized crystal structure of Li3GaAg6. Source: Alexandria, functional GGA-PBE.

Values from the calculation:
As for the space group: No. 148. As for the total moment: 0.000 μB per atom.

The structure in POSCAR format:
```
Li3GaAg6
1.0
5.534 3.195 3.341
-5.534 3.195 3.341
0.000 -6.390 3.341
Li Ga Ag
6 2 12
direct
0.076 0.340 0.339
0.339 0.076 0.340
0.340 0.339 0.076
0.660 0.661 0.924
0.661 0.924 0.660
0.924 0.660 0.661
0.000 0.000 0.000
0.500 0.500 0.500
0.096 0.678 0.097
0.097 0.096 0.678
0.243 0.500 0.757
0.243 0.757 0.500
0.322 0.903 0.904
0.500 0.243 0.757
0.500 0.757 0.243
0.678 0.097 0.096
0.757 0.243 0.500
0.757 0.500 0.243
0.903 0.904 0.322
0.904 0.322 0.903
```

2.
An optimized crystal structure of Li3GaAg6. Source: Alexandria, functional GGA-PBE.

Values from the calculation:
As for the space group: No. 11. As for the total moment: 0.000 μB per atom.

The structure in POSCAR format:
```
Li3GaAg6
1.0
7.643 0.000 0.000
0.000 4.735 0.000
-3.718 0.000 9.283
Li Ga Ag
6 2 12
direct
0.090 0.250 0.225
0.295 0.250 0.024
0.317 0.750 0.373
0.683 0.250 0.627
0.705 0.750 0.976
0.910 0.750 0.775
0.112 0.750 0.576
0.888 0.250 0.424
0.079 0.250 0.725
0.105 0.750 0.072
0.283 0.250 0.520
0.301 0.750 0.868
0.491 0.250 0.332
0.496 0.250 0.830
0.504 0.750 0.170
0.509 0.750 0.668
0.699 0.250 0.132
0.717 0.750 0.480
0.895 0.250 0.928
0.921 0.750 0.275
```

2 wins, 3.5 kJ/mol of atoms ahead of the next structure.

1.
An optimized crystal structure of Li3Ga2Ag4. Source: Alexandria, functional GGA-PBE.

Values from the calculation:
As for the space group: No. 12. As for the total moment: 0.000 μB per atom.

The structure in POSCAR format:
```
Li3Ga2Ag4
1.0
4.960 -2.210 0.000
4.960 2.210 0.000
-4.907 0.000 6.661
Li Ga Ag
3 2 4
direct
0.000 0.000 0.000
0.009 0.009 0.674
0.991 0.991 0.326
0.335 0.335 0.662
0.665 0.665 0.338
0.325 0.325 0.331
0.343 0.343 0.999
0.657 0.657 0.001
0.675 0.675 0.669
```

2.
An optimized crystal structure of Li3Ga2Ag4. Source: Alexandria, functional GGA-PBE.

Values from the calculation:
As for the space group: No. 12. As for the total moment: 0.000 μB per atom.

The structure in POSCAR format:
```
Li3Ga2Ag4
1.0
3.901 -2.224 0.000
3.901 2.224 0.000
-0.101 0.000 8.362
Li Ga Ag
3 2 4
direct
0.000 0.000 0.000
0.333 0.333 0.440
0.667 0.667 0.560
0.333 0.333 0.776
0.667 0.667 0.224
0.000 0.000 0.331
0.000 0.000 0.669
0.334 0.334 0.106
0.666 0.666 0.894
```

2 wins, 1.5 kJ/mol of atoms ahead of the next structure.

1.
An optimized crystal structure of Li4GaAg2. Source: Alexandria, functional GGA-PBE.

Values from the calculation:
As for the space group: No. 139. As for the total moment: 0.000 μB per atom.

The structure in POSCAR format:
```
Li4GaAg2
1.0
-2.311 2.311 5.905
2.311 -2.311 5.905
2.311 2.311 -5.905
Li Ga Ag
4 1 2
direct
0.121 0.621 0.500
0.379 0.879 0.500
0.621 0.121 0.500
0.879 0.379 0.500
0.000 0.000 0.000
0.238 0.238 0.000
0.762 0.762 0.000
```

2.
An optimized crystal structure of Li4GaAg2. Source: Alexandria, functional GGA-PBE.

Values from the calculation:
As for the space group: No. 12. As for the total moment: 0.000 μB per atom.

The structure in POSCAR format:
```
Li4GaAg2
1.0
7.036 -1.408 0.000
7.036 1.408 0.000
-3.477 0.000 6.116
Li Ga Ag
4 1 2
direct
0.084 0.084 0.227
0.363 0.363 0.110
0.637 0.637 0.890
0.916 0.916 0.773
0.000 0.000 0.500
0.225 0.225 0.663
0.775 0.775 0.337
```

3.
An optimized crystal structure of Li4GaAg2. Source: Alexandria, functional GGA-PBE.

Values from the calculation:
As for the space group: No. 139. As for the total moment: 0.000 μB per atom.

The structure in POSCAR format:
```
Li4GaAg2
1.0
-2.354 2.354 6.680
2.354 -2.354 6.680
2.354 2.354 -6.680
Li Ga Ag
4 1 2
direct
0.000 0.500 0.500
0.193 0.193 0.000
0.500 0.000 0.500
0.807 0.807 0.000
0.000 0.000 0.000
0.394 0.394 0.000
0.606 0.606 0.000
```

2 wins, 2.7 kJ/mol of atoms ahead of the next structure.

1.
An optimized crystal structure of LiGa2Ag6. Source: Alexandria, functional GGA-PBE.

Values from the calculation:
As for the space group: No. 12. As for the total moment: 0.000 μB per atom.

The structure in POSCAR format:
```
LiGa2Ag6
1.0
4.408 -2.133 0.000
4.408 2.133 0.000
-2.187 0.000 8.154
Li Ga Ag
1 2 6
direct
0.000 0.000 0.000
0.331 0.331 0.776
0.669 0.669 0.224
0.002 0.002 0.676
0.332 0.332 0.443
0.340 0.340 0.102
0.660 0.660 0.898
0.668 0.668 0.557
0.998 0.998 0.324
```

2.
An optimized crystal structure of LiGa2Ag6. Source: Alexandria, functional GGA-PBE.

Values from the calculation:
As for the space group: No. 15. As for the total moment: 0.000 μB per atom.

The structure in POSCAR format:
```
LiGa2Ag6
1.0
7.085 -4.790 0.000
7.085 4.790 0.000
-0.643 0.000 4.606
Li Ga Ag
2 4 12
direct
0.137 0.863 0.750
0.863 0.137 0.250
0.193 0.490 0.915
0.490 0.193 0.415
0.510 0.807 0.585
0.807 0.510 0.085
0.007 0.787 0.202
0.123 0.346 0.362
0.213 0.993 0.298
0.321 0.560 0.467
0.346 0.123 0.862
0.440 0.679 0.033
0.560 0.321 0.967
0.654 0.877 0.138
0.679 0.440 0.533
0.787 0.007 0.702
0.877 0.654 0.638
0.993 0.213 0.798
```

1 wins, 3.7 kJ/mol of atoms ahead of the next structure.

1.
An optimized crystal structure of LiGa2Ag4. Source: Alexandria, functional GGA-PBE.

Values from the calculation:
As for the space group: No. 12. As for the total moment: 0.000 μB per atom.

The structure in POSCAR format:
```
LiGa2Ag4
1.0
4.302 -3.346 0.000
4.302 3.346 0.000
-3.438 0.000 4.399
Li Ga Ag
1 2 4
direct
0.000 0.000 0.000
0.499 0.499 0.247
0.501 0.501 0.753
0.002 0.578 0.288
0.422 0.998 0.712
0.578 0.002 0.288
0.998 0.422 0.712
```

2.
An optimized crystal structure of LiGa2Ag4. Source: Alexandria, functional GGA-PBE.

Values from the calculation:
As for the space group: No. 139. As for the total moment: 0.000 μB per atom.

The structure in POSCAR format:
```
LiGa2Ag4
1.0
-2.313 2.313 6.546
2.313 -2.313 6.546
2.313 2.313 -6.546
Li Ga Ag
1 2 4
direct
0.000 0.000 0.000
0.385 0.385 0.000
0.615 0.615 0.000
0.000 0.500 0.500
0.190 0.190 0.000
0.500 0.000 0.500
0.810 0.810 0.000
```

1 wins, 33.1 kJ/mol of atoms ahead of the next structure.

1.
An optimized crystal structure of Li3Ga2Ag. Source: Alexandria, functional GGA-PBE.

Values from the calculation:
As for the space group: No. 15. As for the total moment: 0.000 μB per atom.

The structure in POSCAR format:
```
Li3Ga2Ag
1.0
3.462 -3.859 0.000
3.462 3.859 0.000
-1.187 0.000 6.998
Li Ga Ag
6 4 2
direct
0.079 0.921 0.750
0.168 0.333 0.000
0.333 0.168 0.500
0.667 0.832 0.500
0.832 0.667 0.000
0.921 0.079 0.250
0.124 0.628 0.374
0.372 0.876 0.126
0.628 0.124 0.874
0.876 0.372 0.626
0.414 0.586 0.750
0.586 0.414 0.250
```

2.
An optimized crystal structure of Li3Ga2Ag. Source: Alexandria, functional GGA-PBE.

Values from the calculation:
As for the space group: No. 15. As for the total moment: 0.000 μB per atom.

The structure in POSCAR format:
```
Li3Ga2Ag
1.0
6.971 -3.227 0.000
6.971 3.227 0.000
-1.309 0.000 4.151
Li Ga Ag
6 4 2
direct
0.118 0.882 0.750
0.214 0.460 0.589
0.460 0.214 0.089
0.540 0.786 0.911
0.786 0.540 0.411
0.882 0.118 0.250
0.045 0.294 0.919
0.294 0.045 0.419
0.706 0.955 0.581
0.955 0.706 0.081
0.355 0.645 0.250
0.645 0.355 0.750
```

2 wins, 6.5 kJ/mol of atoms ahead of the next structure.